The following is a DFT calculation (PBE) of a relaxed structure of Li3Pt.

Geometry as CIF:
```
data_Li3Pt
_cell_length_a 3.013
_cell_length_b 3.013
_cell_length_c 6.680
_cell_angle_alpha 90.00
_cell_angle_beta 90.00
_cell_angle_gamma 90.00
_symmetry_space_group_name_H-M 'P 4/m m m'
_symmetry_Int_Tables_number 123
_symmetry_space_group_name_Hall '-P 4 2'
loop_
_atom_site_label
_atom_site_fract_x
_atom_site_fract_y
_atom_site_fract_z
Li1 0.000 0.000 0.000
Li2 0.500 0.500 0.289
Pt1 0.000 0.000 0.500
```

## Properties
crystal system	tetragonal
polymorph energy (0 for the lowest one)	85	meV/atom